{"formula": "Ce2BN3", "functional": "PBE-GGA", "state": "relaxed", "formation_energy_uncorrected_ev_per_atom": -1.15, "energy_ev_per_atom": -8.400, "space_group": "Fmmm", "lattice_angstrom": [[0.0000, 4.7554, 5.6010], [3.3663, 0.0000, 5.6010], [3.3663, 4.7554, 0.0000]], "species": ["Ce", "Ce", "Ce", "Ce", "B", "B", "N", "N", "N", "N", "N", "N"], "fractional_positions": [[0.2369, 0.7631, 0.7631], [0.2500, 0.2500, 0.2500], [0.7500, 0.7500, 0.7500], [0.7631, 0.2369, 0.2369], [0.2133, 0.2133, 0.7867], [0.7867, 0.7867, 0.2133], [0.0084, 0.2687, 0.7313], [0.2687, 0.0084, 0.9916], [0.3440, 0.3440, 0.6560], [0.6560, 0.6560, 0.3440], [0.7313, 0.9916, 0.0084], [0.9916, 0.7313, 0.2687]]}